Compound: Zn2CdRe
Source: Alexandria
Functional: GGA-PBEsol
Structure: relaxed

The total energy comes out at -4.0917 eV/atom. The energy relative to the elements comes out at 0.332 eV per atom.

The structure belongs to space group Cmm2 (No. 35); the cell edges are 3.033, 4.538 and 8.984 Å and the angles 90.00°, 90.00° and 90.00°. The asymmetric unit holds Zn at (0.000, 0.000, 0.000), Zn at (0.000, 0.500, 0.231), Cd at (0.000, 0.000, 0.496) and Re at (0.000, 0.500, 0.766).